AlAgSCl2: optimized geometry, PBE-GGA.

Summary:
formation energy (no corrections) = -0.504 eV per atom
polymorph energy (0 for the lowest one) = 0.0000 eV per atom
space-group type = P4/mmm

Cell: 4.727 4.727 4.706 Å, 90.00 90.00 90.00°
Fractional positions:
Al1 0.000 0.000 0.000
Ag1 0.500 0.500 0.500
S1 0.000 0.000 0.500
Cl1 0.000 0.500 0.000
Cl2 0.500 0.000 0.000